Entry 1:
The following is a PBE calculation of a relaxed structure of Ac2Al7, from the Alexandria database.

Cell: 5.862 5.862 13.864 Å, 77.79 77.79 60.00°
Fractional positions:
Ac: 0.051 0.051 0.846
Ac: 0.949 0.949 0.154
Ac: 0.149 0.149 0.552
Ac: 0.851 0.851 0.448
Al: 0.500 0.500 0.500
Al: 0.280 0.280 0.161
Al: 0.720 0.720 0.839
Al: 0.388 0.388 0.836
Al: 0.612 0.612 0.164
Al: 0.500 0.000 0.000
Al: 0.000 0.500 0.000
Al: 0.500 0.500 0.000
Al: 0.610 0.610 0.677
Al: 0.610 0.103 0.677
Al: 0.103 0.610 0.677
Al: 0.390 0.390 0.323
Al: 0.390 0.897 0.323
Al: 0.897 0.390 0.323

Values from the calculation:
D(E_F): 0.49 states/eV per atom
ΔE_f: -0.284 eV/atom



Entry 2:
The following is a PBE calculation of a relaxed structure of BaZn2Si, from the Alexandria database.

Cell: 6.394 6.394 3.197 Å, 76.52 76.52 119.46°
Fractional positions:
Ba: 0.500 0.000 0.500
Si: 0.000 0.500 0.500
Zn: 0.000 0.000 0.000
Zn: 0.500 0.500 0.000

Values from the calculation:
ΔE_f (raw): 137 kJ/mol of formula units
D(E_F): 0.52 states/eV per atom



Entry 3:
The following is a PBE calculation of a relaxed structure of Sr2ZnP, from the Alexandria database.

Cell: 8.001 8.001 8.001 Å, 32.78 32.78 32.78°
Fractional positions:
Sr: 0.765 0.765 0.765
Sr: 0.235 0.235 0.235
Zn: 0.000 0.000 0.000
P: 0.500 0.500 0.500

Values from the calculation:
D(E_F): 0.59 states/eV per atom
ΔE_f: -0.571 eV/atom



Entry 4:
The following is a PBE calculation of a relaxed structure of Tl2SbI, from the Alexandria database.

Cell: 5.711 5.711 5.711 Å, 60.00 60.00 60.00°
Fractional positions:
I: 0.500 0.500 0.500
Sb: 0.000 0.000 0.000
Tl: 0.250 0.250 0.250
Tl: 0.750 0.750 0.750

Values from the calculation:
ΔE_f (raw): -6 kJ/mol of formula units
D(E_F): 0.44 states/eV per atom



| no. | final energy (eV/atom) |
| --- | --- |
| 1 | -4.1080 |
| 2 | -2.1188 |
| 3 | -3.0825 |
| 4 | -2.6172 |